[1]
VASP calculation (PBE-GGA) on MgHgCl2 after structural relaxation.

Formation energy from raw total energies   -0.470 eV/atom

Lattice parameters (Å, degrees): 5.0483 5.0483 5.0483 60.00 60.00 60.00
Last column: nearest neighbours and their distance in Å.
Fractional positions:
Cl 0.0000 0.0000 0.0000  4 Cl 3.09, 4 Mg 3.09
Hg 0.5000 0.5000 0.5000  4 Mg 3.09, 4 Cl 3.09
Mg 0.7500 0.7500 0.7500  4 Hg 3.09, 4 Cl 3.09
Cl 0.2500 0.2500 0.2500  4 Hg 3.09, 4 Cl 3.09

[2]
VASP calculation (PBE-GGA) on MgHgCl2 after structural relaxation.

Formation energy from raw total energies   -1.208 eV/atom

Lattice parameters (Å, degrees): 3.4519 4.2066 9.6699 78.99 90.00 90.00
Last column: nearest neighbours and their distance in Å.
Fractional positions:
Cl 0.0000 0.9056 0.8971  2 Mg 2.41
Hg 0.5000 0.2500 0.2500  2 Hg 3.45
Cl 0.0000 0.5944 0.6029  2 Mg 2.41
Mg 0.5000 0.7500 0.7500  4 Cl 2.41

[3]
VASP calculation (PBE-GGA) on Mg4Hg2Cl after structural relaxation.

Formation energy from raw total energies   -0.096 eV/atom

Lattice parameters (Å, degrees): 4.8888 4.8888 8.1712 72.59 72.59 90.00
Last column: nearest neighbours and their distance in Å.
Fractional positions:
Hg 0.3807 0.3807 0.2385  5 Mg 2.74-3.02
Mg 0.5000 0.0000 0.0000  2 Cl 2.44
Mg 0.0000 0.5000 0.0000  2 Cl 2.44
Mg 0.1959 0.1959 0.6082  1 Hg 2.74, 1 Cl 2.90
Cl 0.0000 0.0000 0.0000  4 Mg 2.44
Hg 0.6193 0.6193 0.7615  5 Mg 2.74-3.02
Mg 0.8041 0.8041 0.3918  1 Hg 2.74, 1 Cl 2.90

[4]
VASP calculation (PBE-GGA) on MgHgCl2 after structural relaxation.

Formation energy from raw total energies   -1.374 eV/atom

Lattice parameters (Å, degrees): 3.6570 3.6570 21.9391 90.00 90.00 120.00
Last column: nearest neighbours and their distance in Å.
Fractional positions:
Mg 0.0000 0.0000 0.0000  6 Cl 2.52
Hg 0.3333 0.6667 0.2500  6 Hg 3.66
Cl 0.6667 0.3333 0.9372  3 Mg 2.52
Cl 0.3333 0.6667 0.4372  3 Mg 2.52
Mg 0.0000 0.0000 0.5000  6 Cl 2.52
Cl 0.3333 0.6667 0.0628  3 Mg 2.52
Hg 0.6667 0.3333 0.7500  6 Hg 3.66
Cl 0.6667 0.3333 0.5628  3 Mg 2.52